(1)
## LiMn2CdCl (PBE-GGA)

Data for LiMn2CdCl after structural relaxation.

Unit cell a=5.1579 b=5.1579 c=5.8816 alpha=90.00 beta=90.00 gamma=90.00
Positions (direct):
Li 0.0000 0.0000 0.0000
Mn 0.0000 0.5000 0.5000
Mn 0.5000 0.0000 0.5000
Cd 0.5000 0.5000 0.5000
Cl 0.5000 0.5000 0.0000

Results
Formation energy (no corrections), eV/atom: 0.71
SG: P4/mmm
Fermi-level density of states, states/eV per atom: 0.90

***

(2)
## Li2CdMoCl (PBE-GGA)

Data for Li2CdMoCl after structural relaxation.

Unit cell a=5.4395 b=5.4395 c=5.5008 alpha=90.00 beta=90.00 gamma=90.00
Positions (direct):
Li 0.0000 0.5000 0.0000
Li 0.5000 0.0000 0.0000
Cd 0.0000 0.0000 0.5000
Mo 0.0000 0.0000 0.0000
Cl 0.5000 0.5000 0.5000

Results
Formation energy (no corrections), eV/atom: 0.82
SG: P4/mmm
Fermi-level density of states, states/eV per atom: 0.65

***

(3)
## NaLiCd2Cl6 (PBE-GGA)

Data for NaLiCd2Cl6 after structural relaxation.

Unit cell a=7.2142 b=7.2142 c=7.2142 alpha=55.68 beta=55.68 gamma=55.68
Positions (direct):
Na 0.0000 0.0000 0.0000
Li 0.4914 0.4914 0.4914
Cd 0.2952 0.2952 0.2952
Cd 0.8005 0.8005 0.8005
Cl 0.0925 0.6874 0.4163
Cl 0.2130 0.5782 0.8923
Cl 0.4163 0.0925 0.6874
Cl 0.5782 0.8923 0.2130
Cl 0.6874 0.4163 0.0925
Cl 0.8923 0.2130 0.5782

Results
Formation energy (no corrections), eV/atom: -1.35
SG: R3
Fermi-level density of states, states/eV per atom: 0.00

***

(4)
## NaLiCdCl4 (PBE-GGA)

Data for NaLiCdCl4 after structural relaxation.

Unit cell a=7.8095 b=7.8095 c=7.8095 alpha=120.11 beta=118.93 gamma=90.84
Positions (direct):
Na 0.5000 0.0000 0.0000
Na 0.5000 0.5000 0.5000
Li 0.1082 0.3582 0.7500
Li 0.8918 0.6418 0.2500
Cd 0.0000 0.0000 0.0000
Cd 0.5000 0.0000 0.5000
Cl 0.2403 0.2375 0.0028
Cl 0.2451 0.2349 0.4898
Cl 0.2451 0.7553 0.0102
Cl 0.2653 0.7625 0.5028
Cl 0.7347 0.2375 0.4972
Cl 0.7549 0.2447 0.9898
Cl 0.7549 0.7651 0.5102
Cl 0.7597 0.7625 0.9972

Results
Formation energy (no corrections), eV/atom: -1.50
SG: Imma
Fermi-level density of states, states/eV per atom: 0.00

***

(5)
## LiNb2CdCl (PBE-GGA)

Data for LiNb2CdCl after structural relaxation.

Unit cell a=4.5557 b=4.5557 c=5.4443 alpha=90.00 beta=90.00 gamma=90.00
Positions (direct):
Li 0.0000 0.0000 0.0000
Nb 0.0000 0.5000 0.5000
Nb 0.5000 0.0000 0.5000
Cd 0.5000 0.5000 0.0000
Cl 0.5000 0.5000 0.5000

Results
Formation energy (no corrections), eV/atom: 0.76
SG: P4/mmm
Fermi-level density of states, states/eV per atom: 0.79

***

(6)
## LiCdNi2Cl (PBE-GGA)

Data for LiCdNi2Cl after structural relaxation.

Unit cell a=4.2344 b=4.2344 c=4.8835 alpha=90.00 beta=90.00 gamma=90.00
Positions (direct):
Li 0.0000 0.0000 0.0000
Cd 0.0000 0.0000 0.5000
Ni 0.0000 0.5000 0.0000
Ni 0.5000 0.0000 0.0000
Cl 0.5000 0.5000 0.5000

Results
Formation energy (no corrections), eV/atom: 0.75
SG: P4/mmm
Fermi-level density of states, states/eV per atom: 1.35

***

(7)
## Li2CdPbCl6 (PBE-GGA)

Data for Li2CdPbCl6 after structural relaxation.

Unit cell a=7.2622 b=7.2622 c=7.2622 alpha=55.47 beta=55.47 gamma=55.47
Positions (direct):
Li 0.0000 0.0000 0.0000
Li 0.4994 0.4994 0.4994
Cd 0.6985 0.6985 0.6985
Pb 0.2033 0.2033 0.2033
Cl 0.1105 0.4084 0.7663
Cl 0.2790 0.8697 0.6492
Cl 0.4084 0.7663 0.1105
Cl 0.6492 0.2789 0.8697
Cl 0.7663 0.1105 0.4084
Cl 0.8697 0.6492 0.2790

Results
Formation energy (no corrections), eV/atom: -1.37
SG: R3
Fermi-level density of states, states/eV per atom: 0.00

***

(8)
## LiPmCdCl6 (PBE-GGA)

Data for LiPmCdCl6 after structural relaxation.

Unit cell a=6.7736 b=6.7736 c=11.9719 alpha=90.00 beta=90.00 gamma=120.00
Positions (direct):
Li 0.0000 0.0000 0.0000
Li 0.0000 0.0000 0.5000
Pm 0.3333 0.6667 0.2500
Pm 0.6667 0.3333 0.7500
Cd 0.3333 0.6667 0.7500
Cd 0.6667 0.3333 0.2500
Cl 0.0070 0.3384 0.6247
Cl 0.0070 0.6686 0.8753
Cl 0.3314 0.3384 0.8753
Cl 0.3314 0.9930 0.6247
Cl 0.3384 0.0070 0.1247
Cl 0.3384 0.3314 0.3753
Cl 0.6616 0.6686 0.6247
Cl 0.6616 0.9930 0.8753
Cl 0.6686 0.0070 0.3753
Cl 0.6686 0.6616 0.1247
Cl 0.9930 0.3314 0.1247
Cl 0.9930 0.6616 0.3753

Results
Formation energy (no corrections), eV/atom: -1.73
SG: P-31c
Fermi-level density of states, states/eV per atom: 0.00